A relaxed structure of TbHoPdPt, computed with GGA-PBE.

Summary:
The space-group type is Amm2, No. 38. The calculated formation energy is -1.11 eV/atom. Its density of states at the Fermi level is 0.74 states/eV/atom. For the calculated density, the calculation gives 11.63 Mg/m³. The calculation puts the spin magnetization at 0.000 μB/f.u.

a b c (Å): 3.7694 4.4894 5.6024
angles (deg): 90.00 109.66 90.00
Fractional positions:
Ho 0.8625 0.5000 0.7251
Pd 0.5870 0.5000 0.1740
Tb 0.1379 0.0000 0.2759
Pt 0.4125 0.0000 0.8251